# 1
Density functional theory data (PBE-GGA) for a geometry-optimized Ce3InPd12 structure.

abc: 4.1372 4.1372 16.4286
angles: 90.00 90.00 90.00
Closest atoms and distances in Å follow each position.
Fractional coordinates of all 16 atoms:
Ce (0.0000, 0.0000, 0.0000)  12 Pd 2.93-2.94
Ce (0.0000, 0.0000, 0.2560)  12 Pd 2.88-2.96
Ce (0.0000, 0.0000, 0.7440)  12 Pd 2.88-2.96
In (0.0000, 0.0000, 0.5000)  12 Pd 2.88-2.93
Pd (0.0000, 0.5000, 0.1269)  8 Pd 2.93-2.94, 4 Ce 2.94-2.96
Pd (0.0000, 0.5000, 0.3780)  2 In 2.88, 8 Pd 2.88-2.93, 2 Ce 2.88
Pd (0.0000, 0.5000, 0.6220)  2 In 2.88, 8 Pd 2.88-2.93, 2 Ce 2.88
Pd (0.0000, 0.5000, 0.8731)  8 Pd 2.93-2.94, 4 Ce 2.94-2.96
Pd (0.5000, 0.0000, 0.1269)  8 Pd 2.93-2.94, 4 Ce 2.94-2.96
Pd (0.5000, 0.0000, 0.3780)  2 In 2.88, 8 Pd 2.88-2.93, 2 Ce 2.88
Pd (0.5000, 0.0000, 0.6220)  2 In 2.88, 8 Pd 2.88-2.93, 2 Ce 2.88
Pd (0.5000, 0.0000, 0.8731)  8 Pd 2.93-2.94, 4 Ce 2.94-2.96
Pd (0.5000, 0.5000, 0.0000)  4 Ce 2.93, 8 Pd 2.94
Pd (0.5000, 0.5000, 0.2530)  8 Pd 2.92-2.93, 4 Ce 2.93
Pd (0.5000, 0.5000, 0.5000)  8 Pd 2.88, 4 In 2.93
Pd (0.5000, 0.5000, 0.7470)  8 Pd 2.92-2.93, 4 Ce 2.93

Summary:
E_tot ... -94.700 eV for the cell shown
Formation enthalpy at 0 K ... -740.4 meV/atom
Crystal system ... tetragonal
Space-group type ... P4/mmm
V ... 281.2 Å³ per cell

# 2
Density functional theory data (PBE-GGA) for a geometry-optimized Ti2InCuH structure.

abc: 4.0422 4.0422 4.1764
angles: 90.00 90.00 90.00
Closest atoms and distances in Å follow each position.
Fractional coordinates of all 5 atoms:
Ti (0.0000, 0.5000, 0.0000)  2 H 2.02
Ti (0.5000, 0.0000, 0.0000)  2 H 2.02
In (0.0000, 0.0000, 0.5000)  4 Cu 2.86, 8 Ti 2.91
Cu (0.5000, 0.5000, 0.5000)  2 H 2.09
H (0.5000, 0.5000, 0.0000)  4 Ti 2.02, 2 Cu 2.09

Summary:
E_tot ... -26.983 eV for the cell shown
Crystal system ... tetragonal
Space-group type ... P4/mmm
V ... 68.2 Å³ per cell

# 3
Density functional theory data (PBE-GGA) for a geometry-optimized YTe2PtN structure.

abc: 5.6062 5.6062 3.7772
angles: 90.00 90.00 90.00
Closest atoms and distances in Å follow each position.
Fractional coordinates of all 5 atoms:
Y (0.0000, 0.0000, 0.0000)  8 Te 3.38, 2 Y 3.78
Te (0.0000, 0.5000, 0.5000)  2 Pt 2.80
Te (0.5000, 0.0000, 0.5000)  2 Pt 2.80
Pt (0.5000, 0.5000, 0.5000)  2 N 1.89
N (0.5000, 0.5000, 0.0000)  2 Pt 1.89

Summary:
E_tot ... -27.720 eV for the cell shown
Crystal system ... tetragonal
Space-group type ... P4/mmm
Formation energy (no corrections) ... -0.121 eV per atom
V ... 118.7 Å³ per cell

# 4
Density functional theory data (PBE-GGA) for a geometry-optimized Ta2CdIr structure.

abc: 5.0784 5.0784 2.8800
angles: 90.18 90.18 111.55
Closest atoms and distances in Å follow each position.
Fractional coordinates of all 4 atoms:
Ta (0.0000, 0.5000, 0.0000)  4 Ta 2.86-2.88, 4 Cd 2.92, 4 Ir 2.92
Ta (0.5000, 0.0000, 0.0000)  4 Ta 2.86-2.88, 4 Cd 2.92, 4 Ir 2.92
Cd (0.0000, 0.0000, 0.5000)  2 Ir 2.86, 2 Cd 2.88, 8 Ta 2.92
Ir (0.5000, 0.5000, 0.5000)  2 Cd 2.86, 2 Ir 2.88, 8 Ta 2.92

Summary:
E_tot ... -33.576 eV for the cell shown
Formation enthalpy at 0 K ... -23.8 meV/atom
Crystal system ... monoclinic
Space-group type ... C2/m
V ... 69.1 Å³ per cell

# 5
Density functional theory data (PBE-GGA) for a geometry-optimized Er2Sc3Si4 structure.

abc: 7.0539 13.9123 7.3588
angles: 90.00 90.00 90.00
Closest atoms and distances in Å follow each position.
Fractional coordinates of all 36 atoms:
Er (0.0113, 0.0965, 0.1766)  6 Si 2.91-3.03
Er (0.0113, 0.4035, 0.1766)  6 Si 2.91-3.03
Er (0.4887, 0.5965, 0.6766)  6 Si 2.91-3.03
Er (0.4887, 0.9035, 0.6766)  6 Si 2.91-3.03
Er (0.5113, 0.0965, 0.3234)  6 Si 2.91-3.03
Er (0.5113, 0.4035, 0.3234)  6 Si 2.91-3.03
Er (0.9887, 0.5965, 0.8234)  6 Si 2.91-3.03
Er (0.9887, 0.9035, 0.8234)  6 Si 2.91-3.03
Sc (0.1623, 0.7500, 0.5038)  6 Si 2.75-3.02
Sc (0.1699, 0.1254, 0.6769)  6 Si 2.72-2.86
Sc (0.1699, 0.3746, 0.6769)  6 Si 2.72-2.86
Sc (0.3301, 0.6254, 0.1769)  6 Si 2.72-2.86
Sc (0.3301, 0.8746, 0.1769)  6 Si 2.72-2.86
Sc (0.3377, 0.2500, 0.0038)  6 Si 2.75-3.02
Sc (0.6623, 0.7500, 0.9962)  6 Si 2.75-3.02
Sc (0.6699, 0.1254, 0.8231)  6 Si 2.72-2.86
Sc (0.6699, 0.3746, 0.8231)  6 Si 2.72-2.86
Sc (0.8301, 0.6254, 0.3231)  6 Si 2.72-2.86
Sc (0.8301, 0.8746, 0.3231)  6 Si 2.72-2.86
Sc (0.8377, 0.2500, 0.4962)  6 Si 2.75-3.02
Si (0.0330, 0.7500, 0.1131)  1 Si 2.52, 5 Sc 2.73-2.76
Si (0.1585, 0.5389, 0.4652)  1 Si 2.54, 3 Sc 2.72-2.81
Si (0.1585, 0.9611, 0.4652)  1 Si 2.54, 3 Sc 2.72-2.81
Si (0.2145, 0.2500, 0.3708)  1 Si 2.52, 1 Sc 2.81
Si (0.2855, 0.7500, 0.8708)  1 Si 2.52, 1 Sc 2.81
Si (0.3415, 0.0389, 0.9652)  1 Si 2.54, 3 Sc 2.72-2.81
Si (0.3415, 0.4611, 0.9652)  1 Si 2.54, 3 Sc 2.72-2.81
Si (0.4670, 0.2500, 0.6131)  1 Si 2.52, 5 Sc 2.73-2.76
Si (0.5330, 0.7500, 0.3869)  1 Si 2.52, 5 Sc 2.73-2.76
Si (0.6585, 0.5389, 0.0348)  1 Si 2.54, 3 Sc 2.72-2.81
Si (0.6585, 0.9611, 0.0348)  1 Si 2.54, 3 Sc 2.72-2.81
Si (0.7145, 0.2500, 0.1292)  1 Si 2.52, 1 Sc 2.81
Si (0.7855, 0.7500, 0.6292)  1 Si 2.52, 1 Sc 2.81
Si (0.8415, 0.0389, 0.5348)  1 Si 2.54, 3 Sc 2.72-2.81
Si (0.8415, 0.4611, 0.5348)  1 Si 2.54, 3 Sc 2.72-2.81
Si (0.9670, 0.2500, 0.8869)  1 Si 2.52, 5 Sc 2.73-2.76

Summary:
E_tot ... -229.127 eV for the cell shown
Crystal system ... orthorhombic
Space-group type ... Pnma
Formation energy (no corrections) ... -0.830 eV per atom
V ... 722.2 Å³ per cell

# 6
Density functional theory data (PBE-GGA) for a geometry-optimized Cs2RbTlGa structure.

abc: 7.4830 7.4830 5.6843
angles: 90.00 90.00 90.00
Closest atoms and distances in Å follow each position.
Fractional coordinates of all 5 atoms:
Cs (0.0000, 0.5000, 0.0000)  2 Ga 3.74
Cs (0.5000, 0.0000, 0.0000)  2 Ga 3.74
Rb (0.0000, 0.0000, 0.5000)  8 Cs 4.70
Tl (0.5000, 0.5000, 0.5000)  2 Ga 2.84
Ga (0.5000, 0.5000, 0.0000)  2 Tl 2.84

Summary:
E_tot ... -7.633 eV for the cell shown
Formation enthalpy at 0 K ... 87.0 meV/atom
Crystal system ... tetragonal
Space-group type ... P4/mmm
V ... 318.3 Å³ per cell

# 7
Density functional theory data (PBE-GGA) for a geometry-optimized PmErC structure.

abc: 7.8902 7.3201 6.5436
angles: 69.12 60.09 50.79
Closest atoms and distances in Å follow each position.
Fractional coordinates of all 12 atoms:
Pm (0.0000, 0.0000, 0.0000)  2 C 2.61
Pm (0.0000, 0.0000, 0.5000)  2 C 2.61
Pm (0.0000, 0.5000, 0.0000)  2 C 2.61
Pm (0.5000, 0.0000, 0.0000)  2 C 2.61
Er (0.2406, 0.2406, 0.5094)  4 C 2.53-2.56
Er (0.4906, 0.4906, 0.7594)  4 C 2.53-2.56
Er (0.5094, 0.5094, 0.2406)  4 C 2.53-2.56
Er (0.7594, 0.7594, 0.4906)  4 C 2.53-2.56
C (0.1836, 0.5664, 0.1836)  4 Er 2.53-2.56, 2 Pm 2.61
C (0.4336, 0.8164, 0.4336)  4 Er 2.53-2.56, 2 Pm 2.61
C (0.5664, 0.1836, 0.5664)  4 Er 2.53-2.56, 2 Pm 2.61
C (0.8164, 0.4336, 0.8164)  4 Er 2.53-2.56, 2 Pm 2.61

Summary:
E_tot ... -73.782 eV for the cell shown
Formation enthalpy at 0 K ... 30.6 meV/atom
Crystal system ... orthorhombic
Space-group type ... Fddd
V ... 253.4 Å³ per cell

# 8
Density functional theory data (PBE-GGA) for a geometry-optimized Li2CuAu structure.

abc: 8.5516 8.5516 8.5516
angles: 19.37 19.37 19.37
Closest atoms and distances in Å follow each position.
Fractional coordinates of all 4 atoms:
Li (0.2476, 0.2476, 0.2476)  3 Cu 2.63, 3 Au 2.72, 6 Li 2.88
Li (0.7524, 0.7524, 0.7524)  3 Cu 2.63, 3 Au 2.72, 6 Li 2.88
Cu (0.5000, 0.5000, 0.5000)  6 Li 2.63, 6 Cu 2.88
Au (0.0000, 0.0000, 0.0000)  6 Li 2.72, 6 Au 2.88

Summary:
E_tot ... -11.687 eV for the cell shown
Formation enthalpy at 0 K ... -121.4 meV/atom
Crystal system ... trigonal
Space-group type ... R-3m
V ... 60.1 Å³ per cell